Compound: Zr3AuN
Source: the Alexandria database
Functional: PBEsol
Structure: relaxed

Cell and atoms, written as POSCAR:
```
Zr3AuN
1.0
4.4106 0.0000 0.0000
0.0000 4.4106 0.0000
0.0000 0.0000 4.4106
Zr Au N
3 1 1
direct
0.0000 0.0000 0.5000
0.0000 0.5000 0.0000
0.5000 0.0000 0.0000
0.5000 0.5000 0.5000
0.0000 0.0000 0.0000
```

Calculated values
Uncorrected formation energy ... -1.084 eV per atom
Theoretical density ... 9.38 g/cm³


Compound: NaAu2
Source: the Alexandria database
Functional: PBEsol
Structure: relaxed

Cell and atoms, written as POSCAR:
```
NaAu2
1.0
0.0000 3.8902 3.8902
3.8902 0.0000 3.8902
3.8902 3.8902 0.0000
Na Au
2 4
direct
0.1250 0.1250 0.1250
0.8750 0.8750 0.8750
0.0000 0.5000 0.5000
0.5000 0.0000 0.5000
0.5000 0.5000 0.0000
0.5000 0.5000 0.5000
```

Calculated values
Theoretical density ... 11.76 g/cm³
ΔE_f ... -0.318 eV per atom


Compound: NaNdAu2
Source: the Alexandria database
Functional: PBEsol
Structure: relaxed

Cell and atoms, written as POSCAR:
```
NaNdAu2
1.0
0.0000 3.5372 3.5372
3.5372 0.0000 3.5372
3.5372 3.5372 0.0000
Na Nd Au
1 1 2
direct
0.0000 0.0000 0.0000
0.5000 0.5000 0.5000
0.2500 0.2500 0.2500
0.7500 0.7500 0.7500
```

Calculated values
Theoretical density ... 10.53 g/cm³
ΔE_f ... -0.533 eV per atom


Compound: NaNi2Au2
Source: the Alexandria database
Functional: PBEsol
Structure: relaxed

Cell and atoms, written as POSCAR:
```
NaNi2Au2
1.0
-1.7860 1.7860 6.3859
1.7860 -1.7860 6.3859
1.7860 1.7860 -6.3859
Na Ni Au
1 2 2
direct
0.0000 0.0000 0.0000
0.2500 0.7500 0.5000
0.7500 0.2500 0.5000
0.3936 0.3936 0.0000
0.6064 0.6064 0.0000
```

Calculated values
Theoretical density ... 10.89 g/cm³
ΔE_f ... 0.224 eV per atom


Compound: NaAuO2
Source: the Alexandria database
Functional: PBEsol
Structure: relaxed

Cell and atoms, written as POSCAR:
```
NaAuO2
1.0
1.7955 -5.6094 0.0000
1.7955 5.6094 0.0000
0.0000 0.0000 5.8863
Na Au O
2 2 4
direct
0.2149 0.7851 0.7500
0.7851 0.2149 0.2500
0.4966 0.5034 0.7500
0.5034 0.4966 0.2500
0.3788 0.6212 0.0068
0.3788 0.6212 0.4932
0.6212 0.3788 0.5068
0.6212 0.3788 0.9932
```

Calculated values
Uncorrected formation energy ... -0.747 eV per atom
Theoretical density ... 7.06 g/cm³


Compound: NaAuO2
Source: the Alexandria database
Functional: PBEsol
Structure: relaxed

Cell and atoms, written as POSCAR:
```
NaAuO2
1.0
-2.2633 2.2633 5.9450
2.2633 -2.2633 5.9450
2.2633 2.2633 -5.9450
Na Au O
2 2 4
direct
0.0000 0.0000 0.0000
0.7500 0.2500 0.5000
0.2500 0.7500 0.5000
0.5000 0.5000 0.0000
0.1896 0.6250 0.0646
0.3750 0.4396 0.5646
0.5604 0.1250 0.9354
0.8750 0.8104 0.4354
```

Calculated values
Uncorrected formation energy ... -0.291 eV per atom
Theoretical density ... 6.87 g/cm³


- Look up the theoretical density of the third one.
  10.53 g/cm³


- Among the records above, which one has the highest theoretical density?
  NaAu2